(1)
Below is an optimized crystal structure of Tm2Sb2O7, with properties calculated at the PBEsol level.

Properties
The total magnetization comes out at 0.0 μB per formula unit. The value obtained for the total energy is -495.28 eV per cell. The calculation puts the calculated density at 8.036 g/cm³.

Unit cell a=7.3950 b=7.3950 c=18.1528 alpha=90.00 beta=90.00 gamma=120.00
Last column: nearest neighbours and their distance in Å.
Space group P3_121 (No. 152)
Asymmetric unit:
Tm  0.0000  0.8345  0.1667  6 O 2.14-2.32
Tm  0.0000  0.8353  0.6667  6 O 2.27-2.49
Tm  0.1786  0.6830  0.0118  6 O 2.15-2.35
Sb  0.0000  0.3088  0.6667  2 O 2.06
Sb  0.0000  0.3254  0.1667  6 O 2.23-2.37
Sb  0.1670  0.6676  0.5010  6 O 1.96-2.01
O  0.0073  0.3335  0.2904  3 Tm 2.22-2.35, 1 Sb 2.25
O  0.0108  0.8138  0.5301  2 Sb 2.01-2.23
O  0.0183  0.8527  0.2842  1 Sb 2.06, 2 Tm 2.14-2.30
O  0.0531  0.4398  0.8037  2 Sb 1.96
O  0.1049  0.6549  0.3930  1 Sb 2.00, 1 Tm 2.23
O  0.1987  0.6851  0.1381  1 Sb 2.01
O  0.2374  0.6934  0.6066  1 Sb 1.97, 1 Tm 2.15

(2)
Below is an optimized crystal structure of VSb4O12, with properties calculated at the PBEsol level.

Properties
The total magnetization comes out at 1.0 μB per formula unit. The value obtained for the total energy is -115.22 eV per cell. The calculation puts the calculated density at 5.893 g/cm³.

Unit cell a=5.0087 b=5.4431 c=7.5774 alpha=95.22 beta=90.22 gamma=91.05
Last column: nearest neighbours and their distance in Å.
Space group P1 (No. 1)
Asymmetric unit:
V  0.0000  0.0000  0.0000  4 O 1.80-1.98
Sb  0.0134  0.3972  0.3088  6 O 1.93-2.15
Sb  0.4983  0.8631  0.7635  5 O 1.90-2.03
Sb  0.5164  0.8696  0.3005  5 O 1.93-2.09
Sb  0.9981  0.3926  0.7755  6 O 1.92-2.10
O  0.1636  0.3851  0.5474  2 Sb 1.92-1.96
O  0.1839  0.7039  0.8772  2 Sb 2.01-2.02, 1 V 2.03
O  0.1882  0.0542  0.2099  1 V 1.84
O  0.2859  0.1564  0.8659  1 V 1.98, 2 Sb 2.03-2.10
O  0.3312  0.5607  0.2168  2 Sb 1.96-1.97
O  0.3511  0.8889  0.5339  2 Sb 1.90-1.95
O  0.6605  0.5398  0.7242  2 Sb 1.94-1.95
O  0.6732  0.8669  0.0281  1 V 1.80
O  0.6937  0.1936  0.3514  2 Sb 1.97-1.98
O  0.8382  0.0472  0.7526  2 Sb 1.97-2.02, 1 V 2.08
O  0.8398  0.7081  0.3627  2 Sb 1.93
O  0.9069  0.3319  0.0384  1 V 1.87

(3)
Below is an optimized crystal structure of Sb3W20O60, with properties calculated at the PBEsol level.

Properties
The total magnetization comes out at 0.7 μB per formula unit. The value obtained for the total energy is -3100.51 eV per cell. The calculation puts the calculated density at 7.186 g/cm³.

Unit cell a=15.1954 b=20.4521 c=14.8767 alpha=90.00 beta=90.00 gamma=90.00
Last column: nearest neighbours and their distance in Å.
Space group Fmm2 (No. 42)
Asymmetric unit:
Sb  0.0000  0.0000  0.0000  2 O 2.09
Sb  0.2277  0.0000  0.0744  2 O 2.06
W  0.0000  0.0000  0.2859  6 O 1.90-1.92
W  0.0000  0.0000  0.7769  4 O 1.83-1.91
W  0.0000  0.1559  0.4097  6 O 1.89-1.96
W  0.0000  0.1567  0.1601  6 O 1.90-1.93
W  0.0000  0.1604  0.6576  6 O 1.87-1.98
W  0.0000  0.1625  0.9109  5 O 1.84-1.97
W  0.2497  0.0000  0.2945  4 O 1.83-1.90
W  0.2499  0.1593  0.4130  6 O 1.88-1.96
W  0.2499  0.1605  0.1613  6 O 1.86-2.06
O  0.0000  0.0611  0.8876  2 W 2.07-2.10, 1 Sb 2.09
O  0.0000  0.0666  0.1955  2 W 1.91-1.92
O  0.0000  0.0672  0.3744  2 W 1.89-1.90
O  0.0000  0.0681  0.6976  2 W 1.83-1.98
O  0.0000  0.1302  0.0354  2 W 1.93-1.97
O  0.0000  0.1370  0.5360  2 W 1.87-1.92
O  0.0000  0.1745  0.7875  2 W 1.85-1.95
O  0.0000  0.1766  0.2852  2 W 1.90-1.91
O  0.0000  0.2495  0.1368  2 W 1.87-1.93
O  0.0000  0.2496  0.4371  2 W 1.84-1.96
O  0.1254  0.0000  0.7843  2 W 1.90-1.91
O  0.1252  0.1582  0.1585  2 W 1.90
O  0.1254  0.1577  0.4122  2 W 1.89-1.91
O  0.1249  0.1583  0.9127  2 W 1.90
O  0.1261  0.0000  0.2875  2 W 1.88-1.92
O  0.1255  0.1576  0.6599  2 W 1.89-1.91
O  0.2462  0.0609  0.1827  1 Sb 2.06, 2 W 2.06-2.08
O  0.2487  0.0676  0.8748  2 W 1.83-1.96
O  0.2494  0.1324  0.0358  2 W 1.91-1.95
O  0.2498  0.1751  0.2844  2 W 1.86-1.94
O  0.2500  0.2500  0.1326  2 W 1.88
O  0.2500  0.2500  0.4347  2 W 1.88

| no. | volume (Å³ per cell) |
| --- | --- |
| 1 | 859.7 |
| 2 | 205.7 |
| 3 | 4623.4 |